Compound: SrAlGe2
Source: the Alexandria database
Functional: GGA-PBE
Structure: relaxed

abc: 4.4088 6.1382 7.8676
angles: 90.00 90.00 90.00
Atoms (fractional coordinates):
Sr 0.0000 0.0000 0.0000
Sr 0.0000 0.5000 0.5000
Al 0.5000 0.0000 0.5736
Al 0.5000 0.5000 0.0736
Ge 0.5000 0.1997 0.2865
Ge 0.5000 0.3003 0.7865
Ge 0.5000 0.6997 0.7865
Ge 0.5000 0.8003 0.2865

Summary:
For the total magnetization, the calculation gives 0.000 μB per atom. Its total DFT energy (no corrections) is -3.8400 eV/atom. As for the crystal system: orthorhombic. The volume comes out at 26.61 A^3/atom. For the formation energy, the calculation gives -0.175 eV/atom.